(1)
Here is a relaxed PmYAlTl crystal from the Alexandria database. Energies are from PBE.

The structure belongs to space group P4mm (No. 99); the cell edges are 3.696, 3.696 and 7.750 Å and the angles 90.00°, 90.00° and 90.00°. Symmetry generates all atoms from Pm at (0.000, 0.000, 0.000), Y at (0.000, 0.000, 0.473), Al at (0.500, 0.500, 0.244) and Tl at (0.500, 0.500, 0.727).

As for the excess energy over the best structure of this formula in the dataset: 0.000 eV per atom.


(2)
Here is a relaxed Pm4AlTlZn2 crystal from the Alexandria database. Energies are from PBE.

The structure belongs to space group R-3m (No. 166, hexagonal axes); the cell edges are 5.2838, 5.2838 and 25.9924 Å and the angles 90.00°, 90.00° and 120.00°. Symmetry generates all atoms from Pm at (0.0000, 0.0000, 0.1214), Pm at (0.0000, 0.0000, 0.3714), Al at (0.0000, 0.0000, 0.0000), Tl at (0.0000, 0.0000, 0.5000) and Zn at (0.0000, 0.0000, 0.2511).


(3)
Here is a relaxed Pm4Tm3Al4 crystal from the Alexandria database. Energies are from PBE.

The structure belongs to space group Immm (No. 71); the cell edges are 3.492, 9.165 and 18.700 Å and the angles 90.00°, 90.00° and 90.00°. Symmetry generates all atoms from Pm at (0.000, 0.177, 0.164), Tm at (0.000, 0.000, 0.407), Tm at (0.000, 0.500, 0.500), Al at (0.000, 0.280, 0.000) and Al at (0.000, 0.500, 0.223).


(4)
Here is a relaxed Pm2Tm8Al crystal from the Alexandria database. Energies are from PBE.

The structure belongs to space group C2/m (No. 12); the cell edges are 19.062, 5.417 and 6.361 Å and the angles 90.00°, 94.36° and 90.00°. Symmetry generates all atoms from Pm at (0.243, 0.000, 0.332), Tm at (0.043, 0.000, 0.256), Tm at (0.077, 0.500, 0.603), Tm at (0.152, 0.000, 0.814), Tm at (0.157, 0.500, 0.123) and Al at (0.000, 0.500, 0.000).


(5)
Here is a relaxed Pm3Tm2Al3 crystal from the Alexandria database. Energies are from PBE.

The structure belongs to space group Immm (No. 71); the cell edges are 3.700, 5.278 and 21.811 Å and the angles 90.00°, 90.00° and 90.00°. Symmetry generates all atoms from Pm at (0.000, 0.000, 0.000), Pm at (0.000, 0.500, 0.121), Tm at (0.000, 0.000, 0.231), Al at (0.000, 0.000, 0.500) and Al at (0.000, 0.500, 0.379).

As for the excess energy over the best structure of this formula in the dataset: 0.000 eV per atom.


(6)
Here is a relaxed PmTm2Al crystal from the Alexandria database. Energies are from PBE.

The structure belongs to space group R3m (No. 160, hexagonal axes); the cell edges are 3.5442, 3.5442 and 31.3432 Å and the angles 90.00°, 90.00° and 120.00°. Symmetry generates all atoms from Pm at (0.0000, 0.0000, 0.0000), Tm at (0.0000, 0.0000, 0.5713), Tm at (0.0000, 0.0000, 0.7612) and Al at (0.0000, 0.0000, 0.1659).

As for the excess energy over the best structure of this formula in the dataset: 0.131 eV per atom.


(7)
Here is a relaxed PmTm5Al6 crystal from the Alexandria database. Energies are from PBE.

The structure belongs to space group C2/m (No. 12); the cell edges are 16.037, 7.091 and 5.075 Å and the angles 90.00°, 108.04° and 90.00°. Symmetry generates all atoms from Pm at (0.000, 0.000, 0.000), Tm at (0.000, 0.500, 0.000), Tm at (0.164, 0.000, 0.663), Tm at (0.168, 0.500, 0.668), Al at (0.000, 0.263, 0.500) and Al at (0.170, 0.256, 0.169).


(8)
Here is a relaxed PmTm2Al crystal from the Alexandria database. Energies are from PBE.

The structure belongs to space group Fm-3m (No. 225); the cell edges are 7.552, 7.552 and 7.552 Å and the angles 90.00°, 90.00° and 90.00°. Symmetry generates all atoms from Pm at (0.000, 0.000, 0.000), Tm at (0.250, 0.250, 0.250) and Al at (0.000, 0.000, 0.500).

As for the excess energy over the best structure of this formula in the dataset: 0.210 eV per atom.


(9)
Here is a relaxed PmTm2Al3 crystal from the Alexandria database. Energies are from PBE.

The structure belongs to space group P4/mmm (No. 123); the cell edges are 3.582, 3.582 and 10.907 Å and the angles 90.00°, 90.00° and 90.00°. Symmetry generates all atoms from Pm at (0.000, 0.000, 0.000), Tm at (0.000, 0.000, 0.339), Al at (0.500, 0.500, 0.180) and Al at (0.500, 0.500, 0.500).


(10)
Here is a relaxed PmTmAl6 crystal from the Alexandria database. Energies are from PBE.

The structure belongs to space group Pm-3 (No. 200); the cell edges are 5.526, 5.526 and 5.526 Å and the angles 90.00°, 90.00° and 90.00°. Symmetry generates all atoms from Pm at (0.000, 0.000, 0.000), Tm at (0.500, 0.500, 0.500) and Al at (0.000, 0.252, 0.500).

As for the excess energy over the best structure of this formula in the dataset: 0.356 eV per atom.


(11)
Here is a relaxed Pm2TmAl2 crystal from the Alexandria database. Energies are from PBE.

The structure belongs to space group Immm (No. 71); the cell edges are 4.888, 6.742 and 8.089 Å and the angles 90.00°, 90.00° and 90.00°. Symmetry generates all atoms from Pm at (0.000, 0.000, 0.198), Tm at (0.000, 0.500, 0.000) and Al at (0.000, 0.301, 0.500).

As for the excess energy over the best structure of this formula in the dataset: 0.000 eV per atom.


(12)
Here is a relaxed Pm2TmAl2 crystal from the Alexandria database. Energies are from PBE.

The structure belongs to space group P2_1/m (No. 11); the cell edges are 6.266, 3.606 and 12.665 Å and the angles 90.00°, 96.70° and 90.00°. Symmetry generates all atoms from Pm at (0.064, 0.250, 0.356), Pm at (0.228, 0.750, 0.926), Tm at (0.465, 0.250, 0.710), Al at (0.285, 0.250, 0.128) and Al at (0.344, 0.750, 0.516).

As for the excess energy over the best structure of this formula in the dataset: 0.158 eV per atom.


(13)
Here is a relaxed Pm4Tm5Al crystal from the Alexandria database. Energies are from PBE.

The structure belongs to space group P4/mmm (No. 123); the cell edges are 3.554, 3.554 and 24.022 Å and the angles 90.00°, 90.00° and 90.00°. Symmetry generates all atoms from Pm at (0.000, 0.000, 0.105), Pm at (0.000, 0.000, 0.317), Tm at (0.500, 0.500, 0.000), Tm at (0.500, 0.500, 0.210), Tm at (0.500, 0.500, 0.423) and Al at (0.000, 0.000, 0.500).


(14)
Here is a relaxed Pm2TmAl9 crystal from the Alexandria database. Energies are from PBE.

The structure belongs to space group R-3m (No. 166, hexagonal axes); the cell edges are 5.6233, 5.6233 and 26.3841 Å and the angles 90.00°, 90.00° and 120.00°. Symmetry generates all atoms from Pm at (0.0000, 0.0000, 0.1419), Tm at (0.0000, 0.0000, 0.0000), Al at (0.0000, 0.0000, 0.3353), Al at (0.0000, 0.0000, 0.5000) and Al at (0.0074, 0.5037, 0.9176).


(15)
Here is a relaxed Pm2TmAl3 crystal from the Alexandria database. Energies are from PBE.

The structure belongs to space group P4/mmm (No. 123); the cell edges are 3.633, 3.633 and 11.047 Å and the angles 90.00°, 90.00° and 90.00°. Symmetry generates all atoms from Pm at (0.000, 0.000, 0.172), Tm at (0.000, 0.000, 0.500), Al at (0.500, 0.500, 0.000) and Al at (0.500, 0.500, 0.347).


(16)
Here is a relaxed PmTm6Al2 crystal from the Alexandria database. Energies are from PBE.

The structure belongs to space group C2/m (No. 12); the cell edges are 12.365, 3.634 and 11.645 Å and the angles 90.00°, 108.00° and 90.00°. Symmetry generates all atoms from Pm at (0.000, 0.000, 0.000), Tm at (0.019, 0.000, 0.336), Tm at (0.189, 0.500, 0.874), Tm at (0.190, 0.500, 0.585) and Al at (0.150, 0.500, 0.215).


(17)
Here is a relaxed Pm15Tm4Al crystal from the Alexandria database. Energies are from PBE.

The structure belongs to space group P4/mmm (No. 123); the cell edges are 5.048, 5.048 and 25.408 Å and the angles 90.00°, 90.00° and 90.00°. Symmetry generates all atoms from Pm at (0.000, 0.000, 0.000), Pm at (0.000, 0.000, 0.196), Pm at (0.000, 0.000, 0.398), Pm at (0.000, 0.500, 0.094), Pm at (0.000, 0.500, 0.297), Pm at (0.000, 0.500, 0.500), Tm at (0.500, 0.500, 0.196), Tm at (0.500, 0.500, 0.399) and Al at (0.500, 0.500, 0.000).


(18)
Here is a relaxed Pm6TmAl2 crystal from the Alexandria database. Energies are from PBE.

The structure belongs to space group C2/m (No. 12); the cell edges are 12.805, 3.756 and 11.947 Å and the angles 90.00°, 109.25° and 90.00°. Symmetry generates all atoms from Pm at (0.027, 0.000, 0.326), Pm at (0.184, 0.500, 0.877), Pm at (0.190, 0.500, 0.592), Tm at (0.000, 0.000, 0.000) and Al at (0.147, 0.500, 0.193).


(19)
Here is a relaxed PmTm4Al4 crystal from the Alexandria database. Energies are from PBE.

The structure belongs to space group I4/m (No. 87); the cell edges are 9.645, 9.645 and 5.111 Å and the angles 90.00°, 90.00° and 90.00°. Symmetry generates all atoms from Pm at (0.000, 0.000, 0.000), Tm at (0.105, 0.354, 0.000) and Al at (0.080, 0.180, 0.500).


(20)
Here is a relaxed PmTm7Al4 crystal from the Alexandria database. Energies are from PBE.

The structure belongs to space group C2/m (No. 12); the cell edges are 13.742, 5.441 and 10.340 Å and the angles 90.00°, 124.65° and 90.00°. Symmetry generates all atoms from Pm at (0.000, 0.000, 0.000), Tm at (0.000, 0.500, 0.000), Tm at (0.066, 0.000, 0.391), Tm at (0.200, 0.500, 0.642), Tm at (0.215, 0.000, 0.876), Al at (0.055, 0.500, 0.765) and Al at (0.178, 0.500, 0.332).


(21)
Here is a relaxed PmTm2Al crystal from the Alexandria database. Energies are from PBE.

The structure belongs to space group P4/mmm (No. 123); the cell edges are 3.504, 3.504 and 8.962 Å and the angles 90.00°, 90.00° and 90.00°. Symmetry generates all atoms from Pm at (0.000, 0.000, 0.000), Tm at (0.500, 0.500, 0.290) and Al at (0.000, 0.000, 0.500).

As for the excess energy over the best structure of this formula in the dataset: 0.000 eV per atom.


(22)
Here is a relaxed Pm3Tm4Al4 crystal from the Alexandria database. Energies are from PBE.

The structure belongs to space group Immm (No. 71); the cell edges are 5.113, 6.997 and 16.704 Å and the angles 90.00°, 90.00° and 90.00°. Symmetry generates all atoms from Pm at (0.000, 0.000, 0.000), Pm at (0.000, 0.500, 0.106), Tm at (0.000, 0.271, 0.321), Al at (0.000, 0.000, 0.182) and Al at (0.000, 0.193, 0.500).


(23)
Here is a relaxed PmTm2Al4 crystal from the Alexandria database. Energies are from PBE.

The structure belongs to space group Immm (No. 71); the cell edges are 3.618, 4.527 and 19.569 Å and the angles 90.00°, 90.00° and 90.00°. Symmetry generates all atoms from Pm at (0.000, 0.000, 0.000), Tm at (0.000, 0.500, 0.196), Al at (0.000, 0.000, 0.432) and Al at (0.000, 0.500, 0.357).


| no. | DOS at the Fermi energy (states/eV per cell) | energy relative to the elements (meV/atom) |
| --- | --- | --- |
| 1 | 2.1 | -382 |
| 2 | 24.3 | -342 |
| 3 | 19.3 | -223 |
| 4 | 28.0 | -35 |
| 5 | 13.3 | -280 |
| 6 | 15.2 | -70 |
| 7 | 6.7 | -385 |
| 8 | 24.4 | 9 |
| 9 | 2.2 | -384 |
| 10 | 4.9 | -64 |
| 11 | 8.9 | -313 |
| 12 | 9.8 | -155 |
| 13 | 12.6 | -64 |
| 14 | 17.7 | -340 |
| 15 | 2.4 | -377 |
| 16 | 21.7 | -165 |
| 17 | 26.8 | -14 |
| 18 | 18.6 | -144 |
| 19 | 13.6 | -160 |
| 20 | 23.9 | -46 |
| 21 | 3.0 | -202 |
| 22 | 20.8 | -197 |
| 23 | 10.3 | -426 |